Record 1
CdP2Ru: optimized geometry, PBE-GGA.

a b c (Å): 5.135 5.135 5.135
angles (deg): 144.98 125.20 66.71
Atoms (fractional coordinates):
P 0.750 0.250 0.500
Cd 0.245 0.745 0.500
P 0.966 0.966 0.000
Ru 0.539 0.539 0.000

Summary:
For the calculated volume, the calculation gives 15.66 A^3/atom. The density of states at the Fermi level is 0.49 states/eV/atom. The value obtained for the energy of formation from the pure elements is 302.8 meV per atom. The crystal system is orthorhombic. As for the space group: Imm2. The calculation puts the spin magnetization at 0.0 μB/f.u.

Record 2
CeAlRu: optimized geometry, PBE-GGA.

a b c (Å): 5.585 5.585 8.307
angles (deg): 90.00 90.00 119.27
Atoms (fractional coordinates):
Al 0.997 0.003 0.743
Ru 0.164 0.836 0.500
Ce 0.336 0.664 0.789
Ce 0.670 0.330 0.332
Ru 0.164 0.338 0.500
Ru 0.662 0.836 0.500
Ce 0.336 0.664 0.211
Ru 0.830 0.170 0.000
Al 0.341 0.165 0.000
Al 0.835 0.659 0.000
Ce 0.670 0.330 0.668
Al 0.997 0.003 0.257

Summary:
For the calculated volume, the calculation gives 18.84 A^3/atom. The density of states at the Fermi level is 1.29 states/eV/atom. The value obtained for the energy of formation from the pure elements is -485.2 meV per atom. The crystal system is orthorhombic. As for the space group: Amm2. The calculation puts the spin magnetization at 0.0 μB/f.u.

Record 3
MnZn2PtCl: optimized geometry, PBE-GGA.

a b c (Å): 4.903 4.256 4.903
angles (deg): 90.00 90.00 90.00
Last column: magnetic moment on the atom in μB.
Atoms (fractional coordinates):
Pt 0.500 0.500 0.500  -0.09
Cl 0.000 0.500 0.000  -0.09
Zn 0.500 0.000 0.000  0.04
Mn 0.000 0.000 0.000  -2.99
Zn 0.000 0.000 0.500  0.02

Summary:
For the calculated volume, the calculation gives 20.46 A^3/atom. The density of states at the Fermi level is 0.97 states/eV/atom. The calculated total energy is -3.26 eV/atom. The crystal system is tetragonal. As for the space group: P4/mmm. The calculation puts the spin magnetization at 3.3 μB/f.u.

Record 4
Nd2SmHo3: optimized geometry, PBE-GGA.

a b c (Å): 5.584 8.962 10.147
angles (deg): 122.53 90.00 108.15
Atoms (fractional coordinates):
Sm 0.135 0.269 0.141
Ho 0.705 0.411 0.423
Ho 0.949 0.898 0.602
Nd 0.774 0.547 0.131
Sm 0.865 0.731 0.859
Ho 0.388 0.777 0.346
Ho 0.295 0.589 0.577
Ho 0.051 0.102 0.398
Nd 0.487 0.974 0.138
Nd 0.513 0.026 0.862
Nd 0.226 0.453 0.869
Ho 0.612 0.223 0.654

Summary:
For the calculated volume, the calculation gives 33.15 A^3/atom. The density of states at the Fermi level is 1.63 states/eV/atom. The value obtained for the energy of formation from the pure elements is 99.8 meV per atom. The crystal system is monoclinic. As for the space group: C2/m. The calculation puts the spin magnetization at 0.0 μB/f.u.

Record 5
ErZn9Pd2: optimized geometry, PBE-GGA.

a b c (Å): 2.980 8.696 8.696
angles (deg): 120.00 90.00 90.00
Atoms (fractional coordinates):
Zn 0.000 0.000 0.500
Zn 0.500 0.818 0.636
Zn 0.500 0.182 0.364
Pd 0.000 0.333 0.667
Zn 0.500 0.636 0.818
Er 0.000 0.000 0.000
Zn 0.000 0.500 0.000
Zn 0.500 0.364 0.182
Pd 0.000 0.667 0.333
Zn 0.500 0.818 0.182
Zn 0.500 0.182 0.818
Zn 0.000 0.500 0.500

Summary:
For the calculated volume, the calculation gives 16.26 A^3/atom. The density of states at the Fermi level is 0.39 states/eV/atom. The value obtained for the energy of formation from the pure elements is -277.5 meV per atom. The crystal system is hexagonal. As for the space group: P6/mmm. The calculation puts the spin magnetization at 0.0 μB/f.u.

Record 6
RbSnBi2Pb: optimized geometry, PBE-GGA.

a b c (Å): 5.462 5.462 7.777
angles (deg): 110.56 110.56 90.00
Atoms (fractional coordinates):
Sn 0.250 0.750 0.500
Bi 0.624 0.624 0.248
Pb 0.750 0.250 0.500
Bi 0.376 0.376 0.752
Rb 0.000 0.000 0.000

Summary:
For the calculated volume, the calculation gives 40.28 A^3/atom. The density of states at the Fermi level is 0.61 states/eV/atom. The value obtained for the energy of formation from the pure elements is -154.5 meV per atom. The crystal system is tetragonal. As for the space group: I-4m2. The calculation puts the spin magnetization at 0.0 μB/f.u.